# ZrHOs2

Crystalline ZrHOs2 at its relaxed geometry (PBE, the Alexandria database).

## Properties
For the relative energy among the computed polymorphs, the calculation gives 0 meV/atom. The calculation puts the density of states at the Fermi level at 0.549 states/eV per atom.

Cell lengths 5.463, 5.463, 7.548 Å; angles 90.00, 90.00, 90.00 degrees
Atoms (fractional coordinates):
1 Zr 0.000 0.000 0.000
2 Zr 0.000 0.500 0.250
3 Zr 0.500 0.000 0.750
4 Zr 0.500 0.500 0.500
5 H 0.000 0.000 0.500
6 H 0.000 0.500 0.750
7 H 0.500 0.000 0.250
8 H 0.500 0.500 0.000
9 Os 0.062 0.750 0.625
10 Os 0.250 0.062 0.375
11 Os 0.250 0.438 0.875
12 Os 0.438 0.750 0.125
13 Os 0.562 0.250 0.125
14 Os 0.750 0.562 0.875
15 Os 0.750 0.938 0.375
16 Os 0.938 0.250 0.625